DFT (PBE) results for a geometry-optimized Cu2NiHgPd structure.

Cell: 4.7369 4.7369 4.7314 Å, 90.00 90.00 90.00°
Space group P4/mmm (No. 123)
Symmetry-distinct sites (fractional):
Cu 0.0000 0.5000 0.0000
Ni 0.0000 0.0000 0.5000
Hg 0.0000 0.0000 0.0000
Pd 0.5000 0.5000 0.5000

Calculated values
* mass density: 7.7 Mg/m³
* calculated formation energy: 6.0 eV per formula unit